Record 1
# MnCo2Os | Alexandria via LeMat-Bulk | PBE | optimized geometry
data_MnCo2Os
_chemical_formula_sum 'Mn2 Co4 Os2'
_space_group_name_H-M_alt 'C m m m'
_space_group_IT_number 65
_space_group_name_Hall '-C 2 2'
_cell_length_a 2.7615
_cell_length_b 4.3523
_cell_length_c 8.3211
_cell_angle_alpha 90.00
_cell_angle_beta 90.00
_cell_angle_gamma 90.00
loop_
_atom_site_label
_atom_site_fract_x
_atom_site_fract_y
_atom_site_fract_z
Mn1 0.0000 0.0000 0.0000
Co1 0.0000 0.5000 0.2397
Os1 0.0000 0.0000 0.5000
# Crystal system: orthorhombic
# M_tot: 11.72 μB per cell
# Energy above the lowest structure with this stoichiometry: 246.0 meV/atom
# Density of states at the Fermi level: 11.0 states/eV per cell



Record 2
# CaHg3 | Alexandria via LeMat-Bulk | PBE | optimized geometry
data_CaHg3
_chemical_formula_sum 'Ca3 Hg9'
_space_group_name_H-M_alt 'R -3 m'
_space_group_IT_number 166
_space_group_name_Hall '-R 3 2"'
_cell_length_a 10.1532
_cell_length_b 10.1532
_cell_length_c 3.6709
_cell_angle_alpha 90.00
_cell_angle_beta 90.00
_cell_angle_gamma 120.00
loop_
_atom_site_label
_atom_site_fract_x
_atom_site_fract_y
_atom_site_fract_z
Ca1 0.0000 0.0000 0.0000
Hg1 0.0000 0.5000 0.0000
# Crystal system: trigonal
# M_tot: 0.00 μB per cell
# DFT total energy: -0.946 eV per atom
# Density of states at the Fermi level: 5.1 states/eV per cell



Record 3
# CrSb2Os | Alexandria via LeMat-Bulk | PBE | optimized geometry
data_CrSb2Os
_chemical_formula_sum 'Cr2 Sb4 Os2'
_space_group_name_H-M_alt 'C m m m'
_space_group_IT_number 65
_space_group_name_Hall '-C 2 2'
_cell_length_a 6.5145
_cell_length_b 6.5270
_cell_length_c 3.2368
_cell_angle_alpha 90.00
_cell_angle_beta 90.00
_cell_angle_gamma 90.00
loop_
_atom_site_label
_atom_site_fract_x
_atom_site_fract_y
_atom_site_fract_z
Cr1 0.0000 0.0000 0.0000
Sb1 0.2500 0.2500 0.5000
Os1 0.0000 0.5000 0.0000
# Energy relative to the elements, uncorrected: 1.90 eV per formula unit
# Crystal system: orthorhombic
# M_tot: 1.55 μB per cell
# Energy above the lowest structure with this stoichiometry: 214.6 meV/atom
# Density of states at the Fermi level: 4.3 states/eV per cell



Record 4
# Tm5Pa | Alexandria via LeMat-Bulk | PBE | optimized geometry
data_Tm5Pa
_chemical_formula_sum 'Tm10 Pa2'
_space_group_name_H-M_alt 'C m m m'
_space_group_IT_number 65
_space_group_name_Hall '-C 2 2'
_cell_length_a 4.8946
_cell_length_b 14.6436
_cell_length_c 4.8595
_cell_angle_alpha 90.00
_cell_angle_beta 90.00
_cell_angle_gamma 90.00
loop_
_atom_site_label
_atom_site_fract_x
_atom_site_fract_y
_atom_site_fract_z
Tm1 0.0000 0.0000 0.0000
Tm2 0.0000 0.1629 0.5000
Tm3 0.0000 0.3393 0.0000
Pa1 0.0000 0.5000 0.5000
# Crystal system: orthorhombic
# M_tot: 0.05 μB per cell
# DFT total energy: -5.180 eV per atom
# Density of states at the Fermi level: 22.8 states/eV per cell



Record 5
# Fe2CN | Alexandria via LeMat-Bulk | PBE | optimized geometry
data_Fe2CN
_chemical_formula_sum 'Fe8 C4 N4'
_space_group_name_H-M_alt 'I -4 2 d'
_space_group_IT_number 122
_space_group_name_Hall 'I -4 2bw'
_cell_length_a 4.2439
_cell_length_b 4.2439
_cell_length_c 8.3960
_cell_angle_alpha 90.00
_cell_angle_beta 90.00
_cell_angle_gamma 90.00
loop_
_atom_site_label
_atom_site_fract_x
_atom_site_fract_y
_atom_site_fract_z
Fe1 0.2458 0.2500 0.1250
C1 0.0000 0.0000 0.5000
N1 0.0000 0.0000 0.0000
# Energy relative to the elements, uncorrected: 0.73 eV per formula unit
# Crystal system: tetragonal
# M_tot: 0.00 μB per cell
# Energy above the lowest structure with this stoichiometry: 0.0 meV/atom
# Density of states at the Fermi level: 18.6 states/eV per cell



Record 6
# Sr2CrAu | Alexandria via LeMat-Bulk | PBE | optimized geometry
data_Sr2CrAu
_chemical_formula_sum 'Sr4 Cr2 Au2'
_space_group_name_H-M_alt 'C 1 2/m 1'
_space_group_IT_number 12
_space_group_name_Hall '-C 2y'
_cell_length_a 7.6805
_cell_length_b 4.4557
_cell_length_c 8.7371
_cell_angle_alpha 90.00
_cell_angle_beta 107.24
_cell_angle_gamma 90.00
loop_
_atom_site_label
_atom_site_fract_x
_atom_site_fract_y
_atom_site_fract_z
Sr1 0.2399 0.0000 0.2190
Cr1 0.0000 0.0000 0.5000
Au1 0.0000 0.5000 0.0000
# Crystal system: monoclinic
# M_tot: 10.58 μB per cell
# Energy above the lowest structure with this stoichiometry: 242.1 meV/atom
# Density of states at the Fermi level: 5.2 states/eV per cell



Record 7
# SmScHgBi | Alexandria via LeMat-Bulk | PBE | optimized geometry
data_SmScHgBi
_chemical_formula_sum 'Sm4 Sc4 Hg4 Bi4'
_space_group_name_H-M_alt 'F -4 3 m'
_space_group_IT_number 216
_space_group_name_Hall 'F -4 2 3'
_cell_length_a 7.5024
_cell_length_b 7.5024
_cell_length_c 7.5024
_cell_angle_alpha 90.00
_cell_angle_beta 90.00
_cell_angle_gamma 90.00
loop_
_atom_site_label
_atom_site_fract_x
_atom_site_fract_y
_atom_site_fract_z
Sm1 0.0000 0.0000 0.0000
Sc1 0.0000 0.0000 0.5000
Hg1 0.2500 0.2500 0.7500
Bi1 0.2500 0.2500 0.2500
# Crystal system: cubic
# M_tot: 0.00 μB per cell
# DFT total energy: -4.253 eV per atom
# Density of states at the Fermi level: 16.8 states/eV per cell



Record 8
# PuGa2Au3 | Alexandria via LeMat-Bulk | PBE | optimized geometry
data_PuGa2Au3
_chemical_formula_sum 'Pu6 Ga12 Au18'
_space_group_name_H-M_alt 'C 1 2/m 1'
_space_group_IT_number 12
_space_group_name_Hall '-C 2y'
_cell_length_a 17.3221
_cell_length_b 4.2499
_cell_length_c 10.4333
_cell_angle_alpha 90.00
_cell_angle_beta 107.23
_cell_angle_gamma 90.00
loop_
_atom_site_label
_atom_site_fract_x
_atom_site_fract_y
_atom_site_fract_z
Pu1 0.0000 0.0000 0.0000
Pu2 0.1554 0.0000 0.7020
Ga1 0.0315 0.5000 0.7748
Ga2 0.1402 0.5000 0.4575
Ga3 0.2010 0.0000 0.1211
Au1 0.0000 0.5000 0.5000
Au2 0.0436 0.0000 0.3368
Au3 0.1182 0.5000 0.1861
Au4 0.1686 0.5000 0.9495
Au5 0.2189 0.0000 0.3793
# Crystal system: monoclinic
# M_tot: 33.82 μB per cell
# Energy above the lowest structure with this stoichiometry: 0.0 meV/atom
# Density of states at the Fermi level: 87.1 states/eV per cell



- density of states at the Fermi level of number 2 (CaHg3)?
  5.1 states/eV per cell



- What is the formula in the third record?
  CrSb2Os